DFT (PBE-GGA) results for a geometry-optimized Mn2AlMoC structure.

## Properties
SG: No. 123
Energy of formation from the pure elements: -9 kJ per mole of atoms
ρ: 6.591 g/cm³
Total magnetic moment: 0.810 μB per atom
DOS at the Fermi energy: 0.8568 states/eV/atom

abc: 3.8272 3.8272 4.2107
angles: 90.00 90.00 90.00
Closest atoms and distances in Å follow each position.
Element x y z (fractional)
Mn1 0.0000 0.5000 0.0000  2 C 1.91
Mn2 0.5000 0.0000 0.0000  2 C 1.91
Al1 0.0000 0.0000 0.5000  4 Mo 2.71, 8 Mn 2.85
Mo1 0.5000 0.5000 0.5000  2 C 2.11
C1 0.5000 0.5000 0.0000  4 Mn 1.91, 2 Mo 2.11